Record 1
The following is a DFT calculation (PBE-GGA) of crystalline NaTb4Tl5 at its relaxed geometry.

Computed properties:
As for the energy: -3.47 eV per atom. The total magnetization comes out at 0.0001 μB per atom. Its formation energy is -301 meV/atom.

Structure (CIF):
```
data_NaTb4Tl5
_chemical_formula_sum 'Na1 Tb4 Tl5'
_symmetry_space_group_name_H-M 'P 4/m m m'
_symmetry_Int_Tables_number 123
_symmetry_space_group_name_Hall '-P 4 2'
_cell_length_a 3.7868
_cell_length_b 3.7868
_cell_length_c 19.3068
_cell_angle_alpha 90.00
_cell_angle_beta 90.00
_cell_angle_gamma 90.00
loop_
_atom_site_label
_atom_site_type_symbol
_atom_site_fract_x
_atom_site_fract_y
_atom_site_fract_z
_atom_site_occupancy
Na1 Na 0.0000 0.0000 0.0000 1
Tb1 Tb 0.0000 0.0000 0.1988 1
Tb2 Tb 0.0000 0.0000 0.4000 1
Tl1 Tl 0.5000 0.5000 0.1037 1
Tl2 Tl 0.5000 0.5000 0.3011 1
Tl3 Tl 0.5000 0.5000 0.5000 1
```



Record 2
The following is a DFT calculation (PBE-GGA) of crystalline NaTbTl at its relaxed geometry.

Computed properties:
As for the energy: -2.83 eV per atom. The total magnetization comes out at 0.0000 μB per atom. Its formation energy is -57 meV/atom.

Structure (CIF):
```
data_NaTbTl
_chemical_formula_sum 'Na1 Tb1 Tl1'
_symmetry_space_group_name_H-M 'P -6 m 2'
_symmetry_Int_Tables_number 187
_symmetry_space_group_name_Hall 'P -6 2'
_cell_length_a 5.3089
_cell_length_b 5.3089
_cell_length_c 3.4052
_cell_angle_alpha 90.00
_cell_angle_beta 90.00
_cell_angle_gamma 120.00
loop_
_atom_site_label
_atom_site_type_symbol
_atom_site_fract_x
_atom_site_fract_y
_atom_site_fract_z
_atom_site_occupancy
Na1 Na 0.0000 0.0000 0.0000 1
Tb1 Tb 0.3333 0.6667 0.5000 1
Tl1 Tl 0.6667 0.3333 0.0000 1
```